The following is a PBE calculation of crystalline Tl2CoW at its relaxed geometry, from Alexandria.

Properties
electronic total energy: -5.675 eV/atom
DOS(E_F): 2.180 states/eV/f.u.
E above lowest polymorph: 0.0 meV/atom
DFT formation energy: 0.523 eV/atom
total moment: 0.00 μB per atom

Cell: 3.015 3.105 8.627 Å, 90.00 100.00 90.00°
Space group Pm (No. 6)
Symmetry-distinct sites (fractional):
1 Tl 0.000 0.000 0.000 x1
2 Tl 0.181 0.500 0.345 x1
3 Co 0.381 0.500 0.754 x1
4 W 0.809 0.000 0.610 x1